Entry 1:
Computed, not measured: Zn2CuBr at its PBEsol-relaxed geometry at the SCAN level of DFT.

Computed properties:
energy relative to the elements, uncorrected: 0.225 eV/atom

The structure in CIF format:
```
data_Zn2CuBr
_symmetry_space_group_name_H-M 'C m m 2'
_symmetry_Int_Tables_number 35
_symmetry_space_group_name_Hall 'C 2 -2'
_cell_length_a 3.396
_cell_length_b 5.490
_cell_length_c 7.590
_cell_angle_alpha 90.00
_cell_angle_beta 90.00
_cell_angle_gamma 90.00
loop_
_atom_site_label
_atom_site_type_symbol
_atom_site_fract_x
_atom_site_fract_y
_atom_site_fract_z
Zn1 Zn 0.000 0.000 0.000
Zn2 Zn 0.000 0.500 0.246
Cu1 Cu 0.000 0.000 0.474
Br1 Br 0.000 0.500 0.720
```

Entry 2:
Computed, not measured: AgSn3Ir at its PBEsol-relaxed geometry at the SCAN level of DFT.

Computed properties:
E_form: 346 meV/atom

The structure in CIF format:
```
data_AgSn3Ir
_symmetry_space_group_name_H-M 'P m -3 m'
_symmetry_Int_Tables_number 221
_symmetry_space_group_name_Hall '-P 4 2 3'
_cell_length_a 5.073
_cell_length_b 5.073
_cell_length_c 5.073
_cell_angle_alpha 90.00
_cell_angle_beta 90.00
_cell_angle_gamma 90.00
loop_
_atom_site_label
_atom_site_type_symbol
_atom_site_fract_x
_atom_site_fract_y
_atom_site_fract_z
Ag1 Ag 0.000 0.000 0.000
Sn1 Sn 0.000 0.500 0.500
Ir1 Ir 0.500 0.500 0.500
```